Zn3SnTe4 | OQMD | PBE | relaxed; calculated volume = 33.142 Å³ per atom; space group = I-42m; electronic total energy = -2.8507 eV per atom; mass density = 5169 kg/m3
1.0
-3.223 3.223 6.381
3.223 -3.223 6.381
3.223 3.223 -6.381
Zn Sn Te
3 1 4
Cartesian
0.000 0.000 0.000
3.223 0.000 3.191
0.000 3.223 3.191
0.000 0.000 6.381
1.787 -1.787 4.633
1.436 1.436 1.748
-1.787 1.787 4.633
1.787 1.787 8.130